one) The following is a DFT calculation (PBE with a Hubbard U) of a relaxed structure of Mg2CoO3.

Computed properties:
magnetization = 3.00 μB per formula unit

Lattice parameters (Å, degrees): 2.957 4.254 8.866 90.00 90.00 90.00
Space group Immm (No. 71)
Inequivalent atoms, fractional coordinates:
Mg: 0.000 0.000 0.163 (multiplicity 4)
Co: 0.000 0.000 0.500 (multiplicity 2)
O: 0.000 0.500 0.170 (multiplicity 4)
O: 0.000 0.500 0.500 (multiplicity 2)

---

two) The following is a DFT calculation (PBE with a Hubbard U) of a relaxed structure of Mg2CoO3.

Computed properties:
magnetization = 3.00 μB per formula unit

Lattice parameters (Å, degrees): 2.9761 2.9761 7.2700 90.00 90.00 120.00
Space group P-3m1 (No. 164)
Inequivalent atoms, fractional coordinates:
Mg: 0.3333 0.6667 0.1661 (multiplicity 2)
Co: 0.0000 0.0000 0.5000 (multiplicity 1)
O: 0.0000 0.0000 0.0000 (multiplicity 1)
O: 0.3333 0.6667 0.6727 (multiplicity 2)

---

Order from most stable to least stable according to the calculation: two), one)

---

one) The following is a DFT calculation (PBE with a Hubbard U) of a relaxed structure of MgCoSO.

Computed properties:
magnetization = 1.00 μB per formula unit

Lattice parameters (Å, degrees): 6.047 7.239 5.658 90.00 90.00 90.00
Space group Pca2_1 (No. 29)
Inequivalent atoms, fractional coordinates:
Mg: 0.113 0.087 0.000 (multiplicity 4)
Co: 0.052 0.654 0.072 (multiplicity 4)
S: 0.073 0.641 0.663 (multiplicity 4)
O: 0.087 0.101 0.648 (multiplicity 4)

---

two) The following is a DFT calculation (PBE with a Hubbard U) of a relaxed structure of MgCoSO.

Computed properties:
magnetization = 3.00 μB per formula unit

Lattice parameters (Å, degrees): 3.402 12.359 5.641 90.00 90.00 90.00
Space group Cmc2_1 (No. 36)
Inequivalent atoms, fractional coordinates:
Mg: 0.000 0.061 0.000 (multiplicity 4)
Co: 0.000 0.328 0.092 (multiplicity 4)
S: 0.000 0.320 0.667 (multiplicity 4)
O: 0.000 0.077 0.658 (multiplicity 4)

---

three) The following is a DFT calculation (PBE with a Hubbard U) of a relaxed structure of MgCoSO.

Computed properties:
magnetization = 2.94 μB per formula unit

Lattice parameters (Å, degrees): 6.304 6.308 12.088 90.00 90.00 90.00
Space group Pbca (No. 61)
Inequivalent atoms, fractional coordinates:
Mg: 0.135 0.046 0.249 (multiplicity 8)
Co: 0.051 0.748 0.451 (multiplicity 8)
S: 0.243 0.004 0.549 (multiplicity 8)
O: 0.117 0.731 0.288 (multiplicity 8)

---

four) The following is a DFT calculation (PBE with a Hubbard U) of a relaxed structure of MgCoSO.

Computed properties:
magnetization = 3.00 μB per formula unit

Lattice parameters (Å, degrees): 5.447 3.449 12.634 90.00 90.00 90.00
Space group Pnma (No. 62)
Inequivalent atoms, fractional coordinates:
Mg: 0.235 0.250 0.088 (multiplicity 4)
Co: 0.142 0.750 0.312 (multiplicity 4)
S: 0.236 0.750 0.922 (multiplicity 4)
O: 0.222 0.250 0.671 (multiplicity 4)

---

Order from most stable to least stable according to the calculation: four), three), two), one)

---

one) The following is a DFT calculation (PBE with a Hubbard U) of a relaxed structure of MgCoSO.

Computed properties:
magnetization = 3.00 μB per formula unit

Lattice parameters (Å, degrees): 4.494 4.494 6.358 90.00 90.00 90.00
Space group P4/nmm (No. 129, origin choice 2)
Inequivalent atoms, fractional coordinates:
Mg: 0.250 0.250 0.236 (multiplicity 2)
Co: 0.250 0.250 0.671 (multiplicity 2)
S: 0.250 0.750 0.500 (multiplicity 2)
O: 0.250 0.250 0.945 (multiplicity 2)

---

two) The following is a DFT calculation (PBE with a Hubbard U) of a relaxed structure of MgCoSO.

Computed properties:
magnetization = 1.88 μB per formula unit

Lattice parameters (Å, degrees): 3.639 3.639 8.341 90.00 90.00 90.00
Space group P4/nmm (No. 129, origin choice 2)
Inequivalent atoms, fractional coordinates:
Mg: 0.250 0.250 0.124 (multiplicity 2)
Co: 0.250 0.250 0.660 (multiplicity 2)
S: 0.250 0.750 0.500 (multiplicity 2)
O: 0.250 0.250 0.892 (multiplicity 2)

---

Order from most stable to least stable according to the calculation: one), two)